# 1
The following is a GGA-PBE calculation of a relaxed Dy2ErTmTl2 crystal, from the Alexandria database.

Unit cell a=5.060 b=6.789 c=9.914 alpha=90.00 beta=90.00 gamma=90.00
Fractional positions:
Tl1 0.000 0.800 0.136
Tl2 0.500 0.717 0.631
Tl3 0.000 0.300 0.864
Tl4 0.500 0.217 0.369
Dy1 0.000 0.835 0.812
Dy2 0.000 0.335 0.188
Dy3 0.500 0.054 0.042
Dy4 0.500 0.554 0.958
Tm1 0.500 0.678 0.313
Tm2 0.500 0.178 0.687
Er1 0.000 0.961 0.458
Er2 0.000 0.461 0.542

For the volume, the calculation gives 28.381 Å³ per atom. The calculation puts the density of states at the Fermi level at 6.005 states/eV/f.u. For the formation energy, the calculation gives -1.58 eV/f.u. For the energy, the calculation gives -49.1 eV per cell.

# 2
The following is a GGA-PBE calculation of a relaxed Pm2Tc2RuN6 crystal, from the Alexandria database.

Unit cell a=5.908 b=5.908 c=6.353 alpha=62.29 beta=62.29 gamma=60.00
Fractional positions:
N1 0.767 0.227 0.240
N2 0.767 0.767 0.240
N3 0.773 0.233 0.760
N4 0.233 0.773 0.760
N5 0.227 0.767 0.240
N6 0.233 0.233 0.760
Pm1 0.801 0.801 0.596
Pm2 0.199 0.199 0.404
Ru1 0.000 0.000 0.000
Tc1 0.571 0.571 0.287
Tc2 0.429 0.429 0.713

For the volume, the calculation gives 14.728 Å³ per atom. The calculation puts the density of states at the Fermi level at 6.093 states/eV/f.u. The value obtained for the energy relative to the elements, uncorrected is -0.1725 eV/atom. For the energy, the calculation gives -91.4 eV per cell.

# 3
The following is a GGA-PBE calculation of a relaxed Y2PaRu2 crystal, from the Alexandria database.

Unit cell a=5.862 b=5.862 c=7.867 alpha=80.44 beta=80.44 gamma=60.67
Fractional positions:
Ru1 0.259 0.999 0.487
Ru2 0.001 0.741 0.013
Ru3 0.999 0.259 0.987
Ru4 0.741 0.001 0.513
Y1 0.777 0.525 0.349
Y2 0.475 0.223 0.151
Y3 0.525 0.777 0.849
Y4 0.223 0.475 0.651
Pa1 0.132 0.868 0.250
Pa2 0.868 0.132 0.750

For the volume, the calculation gives 23.131 Å³ per atom. The calculation puts the density of states at the Fermi level at 5.456 states/eV/f.u. For the formation energy, the calculation gives -2.46 eV/f.u. For the energy, the calculation gives -86.9 eV per cell.

# 4
The following is a GGA-PBE calculation of a relaxed Y2Zr2Au crystal, from the Alexandria database.

Unit cell a=4.216 b=4.216 c=8.041 alpha=74.80 beta=74.80 gamma=90.00
Fractional positions:
Zr1 0.582 0.582 0.837
Zr2 0.418 0.418 0.163
Au1 0.000 0.000 0.000
Y1 0.750 0.250 0.500
Y2 0.250 0.750 0.500

For the volume, the calculation gives 26.549 Å³ per atom. The calculation puts the density of states at the Fermi level at 9.023 states/eV/f.u. For the formation energy, the calculation gives 2.77 eV/f.u. For the energy, the calculation gives -30.5 eV per cell.

# 5
The following is a GGA-PBE calculation of a relaxed GdScAgIr crystal, from the Alexandria database.

Unit cell a=4.870 b=4.870 c=4.870 alpha=60.00 beta=60.00 gamma=60.00
Last column: magnetic moment on the atom in μB.
Fractional positions:
Gd1 0.000 0.000 0.000  7.02
Ag1 0.750 0.750 0.750  0.01
Sc1 0.500 0.500 0.500  0.03
Ir1 0.250 0.250 0.250  -0.04

For the volume, the calculation gives 20.423 Å³ per atom. The calculation puts the density of states at the Fermi level at 3.406 states/eV/f.u. For the formation energy, the calculation gives -2.20 eV/f.u. For the energy, the calculation gives -34.3 eV per cell.

# 6
The following is a GGA-PBE calculation of a relaxed PmNdMoN4 crystal, from the Alexandria database.

Unit cell a=3.931 b=3.931 c=6.919 alpha=106.50 beta=106.50 gamma=90.00
Fractional positions:
Nd1 0.644 0.644 0.287
N1 0.836 0.836 0.671
N2 0.502 0.002 0.004
N3 0.173 0.173 0.345
N4 0.002 0.502 0.004
Mo1 0.991 0.991 0.983
Pm1 0.352 0.352 0.705

For the volume, the calculation gives 13.990 Å³ per atom. The calculation puts the density of states at the Fermi level at 1.360 states/eV/f.u. The value obtained for the energy relative to the elements, uncorrected is -0.9378 eV/atom. For the energy, the calculation gives -60.2 eV per cell.